Below is crystalline PrTm2Au at its relaxed geometry, with properties calculated at the PBE level.

a = 3.7498 Å, b = 3.7498 Å, c = 10.0469 Å
α = 79.24°, β = 79.24°, γ = 60.00°
Closest atoms and distances in Å follow each position.
Fractional coordinates of all 4 atoms:
Pr 0.5016 0.5016 0.4953  6 Tm 3.61-3.70, 6 Pr 3.75
Tm 0.0662 0.0662 0.8013  3 Au 2.93
Tm 0.2665 0.2665 0.2005  3 Au 2.91
Au 0.6657 0.6657 0.0029  6 Tm 2.91-2.93

## Properties
Size of the total moment in μB/cell: 0.00
Energy relative to the lowest polymorph listed for this composition in eV per atom: 0.118
DOS(E_F) in states/eV per cell: 4.73

Below is crystalline Pr4NdHo3 at its relaxed geometry, with properties calculated at the PBE level.

a = 6.3566 Å, b = 7.3729 Å, c = 11.7379 Å
α = 90.00°, β = 90.00°, γ = 90.00°
Closest atoms and distances in Å follow each position.
Fractional coordinates of all 16 atoms:
Pr 0.1409 0.8703 0.0000  6 Pr 3.61-3.77, 4 Ho 3.61-3.71, 2 Nd 3.65-3.73
Pr 0.6524 0.1303 0.0000  4 Ho 3.61-3.76, 6 Pr 3.61-3.77, 2 Nd 3.64-3.67
Pr 0.9825 0.1264 0.2544  5 Ho 3.59-3.73, 6 Pr 3.61-3.69, 1 Nd 3.66
Pr 0.4825 0.8736 0.2456  5 Ho 3.59-3.73, 6 Pr 3.61-3.69, 1 Nd 3.66
Pr 0.1524 0.8697 0.5000  4 Ho 3.61-3.76, 6 Pr 3.61-3.77, 2 Nd 3.64-3.67
Pr 0.6409 0.1297 0.5000  6 Pr 3.61-3.77, 4 Ho 3.61-3.71, 2 Nd 3.65-3.73
Pr 0.4825 0.8736 0.7544  5 Ho 3.59-3.73, 6 Pr 3.61-3.69, 1 Nd 3.66
Pr 0.9825 0.1264 0.7456  5 Ho 3.59-3.73, 6 Pr 3.61-3.69, 1 Nd 3.66
Nd 0.1493 0.3755 0.0000  6 Ho 3.61-3.67, 6 Pr 3.64-3.73
Nd 0.6493 0.6245 0.5000  6 Ho 3.61-3.67, 6 Pr 3.64-3.73
Ho 0.6469 0.6199 0.0000  4 Ho 3.59-3.62, 6 Pr 3.59-3.76, 2 Nd 3.64-3.67
Ho 0.9804 0.6202 0.2498  4 Ho 3.59-3.64, 2 Nd 3.61, 6 Pr 3.61-3.73
Ho 0.4804 0.3798 0.2502  4 Ho 3.59-3.64, 2 Nd 3.61, 6 Pr 3.61-3.73
Ho 0.1469 0.3801 0.5000  4 Ho 3.59-3.62, 6 Pr 3.59-3.76, 2 Nd 3.64-3.67
Ho 0.4804 0.3798 0.7498  4 Ho 3.59-3.64, 2 Nd 3.61, 6 Pr 3.61-3.73
Ho 0.9804 0.6202 0.7502  4 Ho 3.59-3.64, 2 Nd 3.61, 6 Pr 3.61-3.73

## Properties
Size of the total moment in μB/cell: 0.00
Energy relative to the lowest polymorph listed for this composition in eV per atom: 0.015
DOS(E_F) in states/eV per cell: 28.10

Below is crystalline La6NdSc at its relaxed geometry, with properties calculated at the PBE level.

a = 5.1701 Å, b = 5.1701 Å, c = 10.3686 Å
α = 90.00°, β = 90.00°, γ = 90.00°
Closest atoms and distances in Å follow each position.
Fractional coordinates of all 8 atoms:
La 0.5000 0.5000 0.0000  4 Nd 3.66, 8 La 3.70
La 0.5000 0.5000 0.5000  8 La 3.62, 4 Sc 3.66
La 0.5000 0.0000 0.2556  8 La 3.62-3.70, 2 Sc 3.62, 2 Nd 3.70
La 0.5000 0.0000 0.7444  8 La 3.62-3.70, 2 Sc 3.62, 2 Nd 3.70
La 0.0000 0.5000 0.2556  8 La 3.62-3.70, 2 Sc 3.62, 2 Nd 3.70
La 0.0000 0.5000 0.7444  2 Sc 3.62, 8 La 3.62-3.70, 2 Nd 3.70
Nd 0.0000 0.0000 0.0000  12 La 3.66-3.70
Sc 0.0000 0.0000 0.5000  12 La 3.62-3.66

## Properties
Size of the total moment in μB/cell: 0.00
DOS(E_F) in states/eV per cell: 10.93

For each record above, in turn, the calculated DFT formation energy values are -307; 32; 22 meV/atom.
For each record above, in turn, the calculated total DFT energy (no corrections) values are -4.5569; -4.6707; -5.0612 eV per atom.